[1]
Below is CeZn3Si after structural relaxation, with properties calculated at the PBE level.

Unit cell a=4.1510 b=4.1508 c=6.0546 alpha=69.97 beta=69.97 gamma=90.02
Atoms (fractional coordinates):
Zn (0.1517, 0.4551, 0.4019)
Zn (0.6518, 0.9552, 0.4019)
Zn (0.7852, 0.5889, 0.1345)
Ce (0.4079, 0.2114, 0.8898)
Si (0.0112, 0.8146, 0.6830)

ΔE_f (raw) (eV/atom): -0.38
Crystal system: tetragonal

***

[2]
Below is Y4ScMn after structural relaxation, with properties calculated at the PBE level.

Unit cell a=6.3356 b=6.3356 c=6.3356 alpha=60.00 beta=60.00 gamma=60.00
Atoms (fractional coordinates):
Mn (0.7500, 0.7500, 0.7500)
Sc (0.0000, 0.0000, 0.0000)
Y (0.3748, 0.8758, 0.3748)
Y (0.3748, 0.3748, 0.3748)
Y (0.8758, 0.3748, 0.3748)
Y (0.3748, 0.3748, 0.8758)

Formation enthalpy at 0 K (eV per atom): 0.5826
Crystal system: cubic

***

[3]
Below is Sc2Al5CuTc2 after structural relaxation, with properties calculated at the PBE level.

Unit cell a=3.3359 b=10.0864 c=10.0864 alpha=90.00 beta=90.00 gamma=90.00
Atoms (fractional coordinates):
Tc (0.0000, 0.1288, 0.6288)
Tc (0.0000, 0.3712, 0.1288)
Tc (0.0000, 0.6288, 0.8712)
Tc (0.0000, 0.8712, 0.3712)
Al (0.5000, 0.8066, 0.9514)
Al (0.5000, 0.6934, 0.4514)
Al (0.5000, 0.9514, 0.1934)
Al (0.5000, 0.5486, 0.6934)
Al (0.5000, 0.5000, 0.0000)
Al (0.5000, 0.0000, 0.5000)
Al (0.5000, 0.3066, 0.5486)
Al (0.5000, 0.4514, 0.3066)
Al (0.5000, 0.0486, 0.8066)
Al (0.5000, 0.1934, 0.0486)
Cu (0.0000, 0.0000, 0.0000)
Cu (0.0000, 0.5000, 0.5000)
Sc (0.0000, 0.3111, 0.8111)
Sc (0.0000, 0.8111, 0.6889)
Sc (0.0000, 0.1889, 0.3111)
Sc (0.0000, 0.6889, 0.1889)

Formation enthalpy at 0 K (eV per atom): -0.2405
Crystal system: tetragonal

***

no.,energy (eV/atom)
1,-3.417
2,-6.310
3,-5.861